1.
VASP calculation (GGA-PBE) on ErCo2Sn8 after structural relaxation.

Values from the calculation:
E_tot = -0.346 Ry/atom
formation energy from the elements = -0.09 eV per atom
spin magnetization = 0.00 μB per formula unit

Geometry as CIF:
```
data_ErCo2Sn8
_chemical_formula_sum 'Er2 Co4 Sn16'
_cell_length_a 8.1958
_cell_length_b 12.7954
_cell_length_c 4.9290
_cell_angle_alpha 90.00
_cell_angle_beta 95.07
_cell_angle_gamma 90.00
_space_group_name_H-M_alt 'C 1 2/m 1'
_space_group_IT_number 12
loop_
_space_group_symop_operation_xyz
'x,y,z'
'-x,-y,-z'
'-x,y,-z'
'x,-y,z'
'x+1/2,y+1/2,z'
'-x+1/2,-y+1/2,-z'
'-x+1/2,y+1/2,-z'
'x+1/2,-y+1/2,z'
loop_
_atom_site_label
_atom_site_fract_x
_atom_site_fract_y
_atom_site_fract_z
_atom_site_occupancy
Er1 0.0000 0.0000 0.0000 1
Co1 0.0000 0.3249 0.5000 1
Sn1 0.0000 0.2664 0.0000 1
Sn2 0.1124 0.5000 0.7743 1
Sn3 0.1957 0.1412 0.6098 1
```

2.
VASP calculation (GGA-PBE) on Er3Co2Sn3 after structural relaxation.

Values from the calculation:
E_tot = -0.407 Ry/atom
formation energy from the elements = -0.55 eV per atom
spin magnetization = 0.00 μB per formula unit

Geometry as CIF:
```
data_Er3Co2Sn3
_chemical_formula_sum 'Er12 Co8 Sn12'
_cell_length_a 4.4176
_cell_length_b 10.6663
_cell_length_c 14.7186
_cell_angle_alpha 90.00
_cell_angle_beta 90.00
_cell_angle_gamma 90.00
_space_group_name_H-M_alt 'C m c m'
_space_group_IT_number 63
_space_group_name_Hall '-C 2c 2'
loop_
_atom_site_label
_atom_site_fract_x
_atom_site_fract_y
_atom_site_fract_z
_atom_site_occupancy
Er1 0.0000 0.0710 0.1110 1
Er2 0.0000 0.3510 0.2500 1
Co1 0.0000 0.2032 0.6082 1
Sn1 0.0000 0.3509 0.7500 1
Sn2 0.0000 0.3616 0.0364 1
```

3.
VASP calculation (GGA-PBE) on Er2CoSn after structural relaxation.

Values from the calculation:
E_tot = -0.374 Ry/atom
energy above the lowest structure with this stoichiometry = 0.3887 eV per atom
formation energy from the elements = -0.03 eV per atom
spin magnetization = 0.00 μB per formula unit

Geometry as CIF:
```
data_Er2CoSn
_chemical_formula_sum 'Er6 Co3 Sn3'
_cell_length_a 3.6666
_cell_length_b 3.6666
_cell_length_c 28.1251
_cell_angle_alpha 90.00
_cell_angle_beta 90.00
_cell_angle_gamma 120.00
_space_group_name_H-M_alt 'R -3 m'
_space_group_IT_number 166
_space_group_name_Hall '-R 3 2"'
loop_
_atom_site_label
_atom_site_fract_x
_atom_site_fract_y
_atom_site_fract_z
_atom_site_occupancy
Er1 0.0000 0.0000 0.1125 1
Co1 0.0000 0.0000 0.5000 1
Sn1 0.0000 0.0000 0.0000 1
```

4.
VASP calculation (GGA-PBE) on ErCoSn3 after structural relaxation.

Values from the calculation:
E_tot = -0.374 Ry/atom
formation energy from the elements = -0.35 eV per atom
spin magnetization = 0.45 μB per formula unit

Geometry as CIF:
```
data_ErCoSn3
_chemical_formula_sum 'Er4 Co4 Sn12'
_cell_length_a 12.1564
_cell_length_b 6.1281
_cell_length_c 5.9748
_cell_angle_alpha 90.00
_cell_angle_beta 90.00
_cell_angle_gamma 90.00
_space_group_name_H-M_alt 'P b c m'
_space_group_IT_number 57
loop_
_space_group_symop_operation_xyz
'x,y,z'
'-x,-y,-z'
'-x,-y,z+1/2'
'x,y,-z+1/2'
'x,-y+1/2,-z'
'-x,y+1/2,z'
'-x,y+1/2,-z+1/2'
'x,-y+1/2,z+1/2'
loop_
_atom_site_label
_atom_site_fract_x
_atom_site_fract_y
_atom_site_fract_z
_atom_site_occupancy
Er1 0.2016 0.0266 0.2500 1
Co1 0.3859 0.2500 0.0000 1
Sn1 0.0069 0.7500 0.0000 1
Sn2 0.2755 0.5273 0.2500 1
Sn3 0.4525 0.5848 0.7500 1
```

Question: The highest formation energy from the elements belongs to which entry?
Answer: Er2CoSn

Question: Among the records above, which one has the highest spin magnetization?
Answer: ErCoSn3

Question: Among the records above, which one has the highest E_tot?
Answer: ErCo2Sn8

Question: spin magnetization of number 2 (Er3Co2Sn3)?
Answer: 0.00 μB per formula unit